w:
DFT (PBE) results for NbCuBr2 after structural relaxation.

Lattice parameters (Å, degrees): 6.6320 6.6320 6.6320 90.00 90.00 90.00
Space group Fm-3m (No. 225)
Asymmetric unit:
Nb  0.0000  0.0000  0.0000 [4 per cell]
Cu  0.0000  0.0000  0.5000 [4 per cell]
Br  0.2500  0.2500  0.2500 [8 per cell]

***

x:
DFT (PBE) results for NbCuBr2 after structural relaxation.

Lattice parameters (Å, degrees): 6.2104 6.2104 11.1030 90.00 90.00 90.00
Space group I-42d (No. 122)
Asymmetric unit:
Nb  0.0000  0.0000  0.0000 [4 per cell]
Cu  0.0000  0.0000  0.5000 [4 per cell]
Br  0.2129  0.2500  0.6250 [8 per cell]

***

What are the relative energies? In meV/atom: w 0; x 25.

***

w:
DFT (PBE) results for NbCuSeBr2 after structural relaxation.

Lattice parameters (Å, degrees): 4.8667 4.8667 4.9397 90.00 90.00 90.00
Space group P4/mmm (No. 123)
Asymmetric unit:
Nb  0.0000  0.0000  0.0000 [1 per cell]
Cu  0.5000  0.5000  0.5000 [1 per cell]
Se  0.5000  0.5000  0.0000 [1 per cell]
Br  0.0000  0.5000  0.5000 [2 per cell]

***

x:
DFT (PBE) results for NbCuSeBr2 after structural relaxation.

Lattice parameters (Å, degrees): 5.2150 5.2150 5.0167 90.00 90.00 90.00
Space group P4/mmm (No. 123)
Asymmetric unit:
Nb  0.0000  0.0000  0.0000 [1 per cell]
Cu  0.5000  0.5000  0.5000 [1 per cell]
Se  0.0000  0.0000  0.5000 [1 per cell]
Br  0.0000  0.5000  0.0000 [2 per cell]

***

What are the relative energies? In meV/atom: w 374; x 0.